Entry 1:
GGA-PBE NaPuTl2, relaxed; total moment = 1.46 μB/atom; raw total energy = -5.1473 eV/atom; N(E_F) = 11.0 states/eV/f.u.; energy of formation from the pure elements = -51 meV per atom
1.0
3.485 0.000 0.000
0.000 5.654 0.000
0.000 0.000 5.654
Na Tl Pu
1 2 1
Direct
0.500 0.000 0.000
0.000 0.500 0.000
0.000 0.000 0.500
0.500 0.500 0.500

---

Entry 2:
GGA-PBE NaPu3Tl4, relaxed; total moment = 0.72 μB/atom; raw total energy = -6.7555 eV/atom; N(E_F) = 19.5 states/eV/f.u.; energy of formation from the pure elements = -33 meV per atom
1.0
3.348 0.000 0.000
0.000 3.348 0.000
0.000 0.000 19.193
Pu Tl Na
3 4 1
Direct
0.500 0.500 0.500
0.500 0.500 0.248
0.500 0.500 0.752
0.000 0.000 0.373
0.000 0.000 0.122
0.000 0.000 0.627
0.000 0.000 0.878
0.500 0.500 0.000